[1]
# Nb2Hg2O5 PBE optimized geometry
# Space group = P4/mmm, No. 123
# E above lowest polymorph = 0.0 kJ/mol of atoms
data_Nb2Hg2O5
_chemical_formula_sum 'Nb2 Hg2 O5'
_cell_length_a 9.880
_cell_length_b 3.850
_cell_length_c 3.850
_cell_angle_alpha 90.00
_cell_angle_beta 90.00
_cell_angle_gamma 90.00
_symmetry_space_group_name_H-M 'P 1'
_symmetry_Int_Tables_number 1
_symmetry_space_group_name_Hall 'P 1'
loop_
_atom_site_label
_atom_site_type_symbol
_atom_site_fract_x
_atom_site_fract_y
_atom_site_fract_z
O1 O 0.744 0.000 0.500
O2 O 0.256 0.000 0.500
O3 O 0.744 0.500 0.000
O4 O 0.500 0.500 0.500
O5 O 0.256 0.500 0.000
Hg1 Hg 0.500 0.000 0.000
Hg2 Hg 0.000 0.000 0.000
Nb1 Nb 0.699 0.500 0.500
Nb2 Nb 0.301 0.500 0.500

[2]
# BaErAsO PBE optimized geometry
# Space group = P4/nmm, No. 129
# E above lowest polymorph = 52.1 kJ/mol of atoms
data_BaErAsO
_chemical_formula_sum 'Ba2 Er2 As2 O2'
_cell_length_a 4.905
_cell_length_b 4.905
_cell_length_c 9.763
_cell_angle_alpha 90.00
_cell_angle_beta 90.00
_cell_angle_gamma 90.00
_symmetry_space_group_name_H-M 'P 1'
_symmetry_Int_Tables_number 1
_symmetry_space_group_name_Hall 'P 1'
loop_
_atom_site_label
_atom_site_type_symbol
_atom_site_fract_x
_atom_site_fract_y
_atom_site_fract_z
As1 As 0.750 0.750 0.365
As2 As 0.250 0.250 0.635
Ba1 Ba 0.250 0.250 0.097
Ba2 Ba 0.750 0.750 0.903
Er1 Er 0.250 0.750 0.500
Er2 Er 0.750 0.250 0.500
O1 O 0.750 0.250 0.000
O2 O 0.250 0.750 0.000

[3]
# Hf3Al3NiPd2 PBE optimized geometry
# Space group = P-62m, No. 189
# E = -7.048 eV per atom
data_Hf3Al3NiPd2
_chemical_formula_sum 'Hf3 Al3 Ni1 Pd2'
_cell_length_a 7.121
_cell_length_b 7.121
_cell_length_c 3.465
_cell_angle_alpha 90.00
_cell_angle_beta 90.00
_cell_angle_gamma 120.00
_symmetry_space_group_name_H-M 'P 1'
_symmetry_Int_Tables_number 1
_symmetry_space_group_name_Hall 'P 1'
loop_
_atom_site_label
_atom_site_type_symbol
_atom_site_fract_x
_atom_site_fract_y
_atom_site_fract_z
Ni1 Ni 0.000 0.000 0.000
Hf1 Hf 0.393 0.000 0.000
Hf2 Hf 0.607 0.607 0.000
Hf3 Hf 0.000 0.393 0.000
Al1 Al 0.249 0.249 0.500
Al2 Al 0.000 0.751 0.500
Al3 Al 0.751 0.000 0.500
Pd1 Pd 0.667 0.333 0.500
Pd2 Pd 0.333 0.667 0.500

[4]
# OsPb2 PBE optimized geometry
# Space group = Fd-3m, No. 227
# E = -5.050 eV per atom
data_OsPb2
_chemical_formula_sum 'Os2 Pb4'
_cell_length_a 8.326
_cell_length_b 8.326
_cell_length_c 8.326
_cell_angle_alpha 60.00
_cell_angle_beta 60.00
_cell_angle_gamma 60.00
_symmetry_space_group_name_H-M 'P 1'
_symmetry_Int_Tables_number 1
_symmetry_space_group_name_Hall 'P 1'
loop_
_atom_site_label
_atom_site_type_symbol
_atom_site_fract_x
_atom_site_fract_y
_atom_site_fract_z
Pb1 Pb 0.375 0.375 0.375
Pb2 Pb 0.875 0.375 0.375
Pb3 Pb 0.375 0.875 0.375
Pb4 Pb 0.375 0.375 0.875
Os1 Os 0.250 0.250 0.250
Os2 Os 0.500 0.500 0.500